# 1
Computed, not measured: a geometry-optimized Ir2PbI2 structure at the PBE-GGA level of DFT.

## Properties
Space group: P4/mbm
Relative energy among the computed polymorphs: 0.000 eV per formula unit
Final energy: -21.83 eV/f.u.
Total moment: 0.00 μB/f.u.
V: 26.46 Å³ per atom
Fermi-level density of states: 1.27 states/eV/f.u.
Formation energy (no corrections): 0.54 eV per atom
ρ: 10.61 Mg/m³

abc: 7.1412 7.1412 5.1882
angles: 90.00 90.00 90.00
With the nearest neighbours (Å) after each atom.
Element x y z (fractional)
Pb  0.0000  0.0000  0.0000  4 Ir 2.83
Pb  0.5000  0.5000  0.0000  4 Ir 2.83
I  0.3114  0.8114  0.5000  2 Ir 2.68
I  0.8114  0.6886  0.5000  2 Ir 2.68
I  0.6886  0.1886  0.5000  2 Ir 2.68
I  0.1886  0.3114  0.5000  2 Ir 2.68
Ir  0.3766  0.8766  0.0000  1 Ir 2.49, 2 I 2.68
Ir  0.8766  0.6234  0.0000  1 Ir 2.49, 2 I 2.68
Ir  0.6234  0.1234  0.0000  1 Ir 2.49, 2 I 2.68
Ir  0.1234  0.3766  0.0000  1 Ir 2.49, 2 I 2.68

***

# 2
Computed, not measured: a geometry-optimized IrPbI2 structure at the PBE-GGA level of DFT.

## Properties
Space group: Fm-3m
Relative energy among the computed polymorphs: 1.129 eV per formula unit
Final energy: -12.40 eV/f.u.
Total moment: 1.19 μB/f.u.
V: 27.03 Å³ per atom
Fermi-level density of states: 3.82 states/eV/f.u.
Formation energy (no corrections): 0.82 eV per atom
ρ: 10.03 Mg/m³

abc: 5.3474 5.3474 5.3474
angles: 60.00 60.00 60.00
With the nearest neighbours (Å) after each atom.
Element x y z (fractional)
Pb  0.5000  0.5000  0.5000  8 I 3.27
I  0.2500  0.2500  0.2500  4 Pb 3.27, 4 Ir 3.27
I  0.7500  0.7500  0.7500  4 Pb 3.27, 4 Ir 3.27
Ir  0.0000  0.0000  0.0000  8 I 3.27